No. 1
! BaCaY2Rh (GGA-PBE, optimized geometry); values from VASP
! Crystal system: tetragonal
! Uncorrected energy in eV per formula unit: -25.023
! Formation energy from the elements in eV/atom: -0.16
! Energy above the lowest structure with this stoichiometry in meV/atom: 114
&SYSTEM
  ibrav = 0, nat = 5, ntyp = 4
/
ATOMIC_SPECIES
Y 88.91 Y.upf
Ca 40.08 Ca.upf
Rh 102.91 Rh.upf
Ba 137.33 Ba.upf
CELL_PARAMETERS angstrom
-4.105 1.926 3.096
-3.646 -2.231 -3.447
0.055 -5.202 3.310
ATOMIC_POSITIONS angstrom
Y -1.823 -1.115 -1.723
Y -2.053 0.963 1.548
Ca -3.848 -2.753 1.479
Rh 0.000 0.000 0.000
Ba 0.027 -2.601 1.655



No. 2
! BaCaY2Rh (GGA-PBE, optimized geometry); values from VASP
! Crystal system: tetragonal
! Uncorrected energy in eV per formula unit: -25.591
! Formation energy from the elements in eV/atom: -0.28
! Energy above the lowest structure with this stoichiometry in meV/atom: 0
&SYSTEM
  ibrav = 0, nat = 5, ntyp = 4
/
ATOMIC_SPECIES
Y 88.91 Y.upf
Ca 40.08 Ca.upf
Rh 102.91 Rh.upf
Ba 137.33 Ba.upf
CELL_PARAMETERS angstrom
5.474 0.000 0.000
0.000 5.474 0.000
0.000 0.000 5.890
ATOMIC_POSITIONS angstrom
Y 0.000 2.737 0.000
Y 2.737 0.000 0.000
Ca 0.000 0.000 2.945
Rh 0.000 0.000 0.000
Ba 2.737 2.737 2.945



No. 3
! Ba2CaZnRh (GGA-PBE, optimized geometry); values from VASP
! Crystal system: tetragonal
! Uncorrected energy in eV per formula unit: -14.630
! Formation energy from the elements in eV/atom: -0.03
! Energy above the lowest structure with this stoichiometry in meV/atom: 46
&SYSTEM
  ibrav = 0, nat = 5, ntyp = 4
/
ATOMIC_SPECIES
Zn 65.41 Zn.upf
Ca 40.08 Ca.upf
Rh 102.91 Rh.upf
Ba 137.33 Ba.upf
CELL_PARAMETERS angstrom
6.091 0.000 0.000
0.000 6.091 0.000
0.000 0.000 5.029
ATOMIC_POSITIONS angstrom
Zn 0.000 0.000 2.515
Ca 3.046 3.046 2.515
Rh 0.000 0.000 0.000
Ba 0.000 3.046 0.000
Ba 3.046 0.000 0.000



No. 4
! Ba2CaZnRh (GGA-PBE, optimized geometry); values from VASP
! Crystal system: tetragonal
! Uncorrected energy in eV per formula unit: -14.859
! Formation energy from the elements in eV/atom: -0.08
! Energy above the lowest structure with this stoichiometry in meV/atom: 0
&SYSTEM
  ibrav = 0, nat = 5, ntyp = 4
/
ATOMIC_SPECIES
Zn 65.41 Zn.upf
Ca 40.08 Ca.upf
Rh 102.91 Rh.upf
Ba 137.33 Ba.upf
CELL_PARAMETERS angstrom
-4.650 0.391 -3.850
0.975 -5.707 -1.756
-3.388 -1.782 3.911
ATOMIC_POSITIONS angstrom
Zn -3.532 -3.549 -0.848
Ca -1.694 -0.891 1.956
Rh 0.000 0.000 0.000
Ba 0.487 -2.853 -0.878
Ba -2.325 0.195 -1.925



No. 5
! BaCa4Ru (GGA-PBE, optimized geometry); values from VASP
! Crystal system: cubic
! Uncorrected energy in eV per formula unit: -14.643
! Formation energy from the elements in eV/atom: 0.76
&SYSTEM
  ibrav = 0, nat = 6, ntyp = 3
/
ATOMIC_SPECIES
Ba 137.33 Ba.upf
Ca 40.08 Ca.upf
Ru 101.07 Ru.upf
CELL_PARAMETERS angstrom
1.865 -5.522 -3.545
-4.091 -5.455 -0.220
-3.246 -1.598 -5.784
ATOMIC_POSITIONS angstrom
Ba 0.000 0.000 0.000
Ca -1.141 -7.461 -5.346
Ca -3.663 -5.525 -6.451
Ca -4.080 -7.428 -3.705
Ca -2.061 -4.736 -3.597
Ru -4.104 -9.431 -7.162



No. 6
! BaCaSbRu2 (GGA-PBE, optimized geometry); values from VASP
! Crystal system: tetragonal
! Uncorrected energy in eV per formula unit: -19.624
! Uncorrected formation energy in eV/atom: 1.395
&SYSTEM
  ibrav = 0, nat = 5, ntyp = 4
/
ATOMIC_SPECIES
Sb 121.76 Sb.upf
Ca 40.08 Ca.upf
Ba 137.33 Ba.upf
Ru 101.07 Ru.upf
CELL_PARAMETERS angstrom
4.959 0.000 0.000
0.000 5.786 0.000
0.000 0.000 4.959
ATOMIC_POSITIONS angstrom
Sb 2.480 2.893 2.480
Ca 0.000 0.000 0.000
Ba 0.000 2.893 0.000
Ru 0.000 0.000 2.480
Ru 2.480 0.000 0.000



No. 7
! BaCa2ScRu (GGA-PBE, optimized geometry); values from VASP
! Crystal system: tetragonal
! Uncorrected energy in eV per formula unit: -21.477
! Formation energy from the elements in eV/atom: 0.01
&SYSTEM
  ibrav = 0, nat = 5, ntyp = 4
/
ATOMIC_SPECIES
Sc 44.96 Sc.upf
Ru 101.07 Ru.upf
Ca 40.08 Ca.upf
Ba 137.33 Ba.upf
CELL_PARAMETERS angstrom
-3.406 -2.856 3.661
4.311 -3.631 1.178
1.510 3.011 3.754
ATOMIC_POSITIONS angstrom
Sc 0.755 1.505 1.877
Ru 0.000 0.000 0.000
Ca 2.156 -1.815 0.589
Ca -1.703 -1.428 1.830
Ba 1.208 -1.738 4.296



No. 8
! BaCaSc2Ru (GGA-PBE, optimized geometry); values from VASP
! Crystal system: tetragonal
! Uncorrected energy in eV per formula unit: -26.190
! Formation energy from the elements in eV/atom: -0.07
&SYSTEM
  ibrav = 0, nat = 5, ntyp = 4
/
ATOMIC_SPECIES
Sc 44.96 Sc.upf
Ru 101.07 Ru.upf
Ca 40.08 Ca.upf
Ba 137.33 Ba.upf
CELL_PARAMETERS angstrom
-3.800 -3.155 1.368
2.487 -3.929 -2.155
2.693 -1.059 5.039
ATOMIC_POSITIONS angstrom
Sc 1.243 -1.964 -1.078
Sc -1.900 -1.578 0.684
Ru 0.000 0.000 0.000
Ca 1.347 -0.530 2.519
Ba 0.690 -4.072 2.126



No. 9
! BaCaSnRu2 (GGA-PBE, optimized geometry); values from VASP
! Crystal system: tetragonal
! Uncorrected energy in eV per formula unit: -19.303
! Formation energy from the elements in eV/atom: 1.44
&SYSTEM
  ibrav = 0, nat = 5, ntyp = 4
/
ATOMIC_SPECIES
Ru 101.07 Ru.upf
Ca 40.08 Ca.upf
Ba 137.33 Ba.upf
Sn 118.71 Sn.upf
CELL_PARAMETERS angstrom
-1.109 -1.348 -4.650
4.425 -3.441 -0.058
-2.840 -3.682 1.745
ATOMIC_POSITIONS angstrom
Ru -1.420 -1.841 0.872
Ru -0.555 -0.674 -2.325
Ca 0.000 0.000 0.000
Ba 2.212 -1.720 -0.029
Sn 0.238 -4.235 -1.482



No. 10
! BaSrCa2Ru (GGA-PBE, optimized geometry); values from VASP
! Crystal system: tetragonal
! Uncorrected energy in eV per formula unit: -16.046
! Formation energy from the elements in eV/atom: 0.17
! Energy above the lowest structure with this stoichiometry in meV/atom: 16
&SYSTEM
  ibrav = 0, nat = 5, ntyp = 4
/
ATOMIC_SPECIES
Ru 101.07 Ru.upf
Ca 40.08 Ca.upf
Ba 137.33 Ba.upf
Sr 87.62 Sr.upf
CELL_PARAMETERS angstrom
5.765 0.000 0.000
0.000 5.765 0.000
0.000 0.000 5.870
ATOMIC_POSITIONS angstrom
Ru 0.000 0.000 0.000
Ca 0.000 2.882 0.000
Ca 2.882 0.000 0.000
Ba 0.000 0.000 2.935
Sr 2.882 2.882 2.935



No. 11
! BaSrCaRu2 (GGA-PBE, optimized geometry); values from VASP
! Crystal system: tetragonal
! Uncorrected energy in eV per formula unit: -17.810
! Formation energy from the elements in eV/atom: 1.27
&SYSTEM
  ibrav = 0, nat = 5, ntyp = 4
/
ATOMIC_SPECIES
Ru 101.07 Ru.upf
Ca 40.08 Ca.upf
Ba 137.33 Ba.upf
Sr 87.62 Sr.upf
CELL_PARAMETERS angstrom
5.129 0.000 0.000
0.000 5.600 0.000
0.000 0.000 5.129
ATOMIC_POSITIONS angstrom
Ru 0.000 0.000 2.564
Ru 2.564 0.000 0.000
Ca 0.000 0.000 0.000
Ba 0.000 2.800 0.000
Sr 2.564 2.800 2.564



No. 12
! Ba2SrCaRu (GGA-PBE, optimized geometry); values from VASP
! Crystal system: tetragonal
! Uncorrected energy in eV per formula unit: -15.804
! Formation energy from the elements in eV/atom: 0.20
&SYSTEM
  ibrav = 0, nat = 5, ntyp = 4
/
ATOMIC_SPECIES
Ru 101.07 Ru.upf
Ca 40.08 Ca.upf
Ba 137.33 Ba.upf
Sr 87.62 Sr.upf
CELL_PARAMETERS angstrom
-5.938 -0.165 -0.979
0.342 -5.913 -1.078
-0.910 -1.092 5.702
ATOMIC_POSITIONS angstrom
Ru 0.000 0.000 0.000
Ca -0.455 -0.546 2.851
Ba 0.171 -2.956 -0.539
Ba -2.969 -0.082 -0.490
Sr -3.253 -3.585 1.823



No. 13
! BaSrCa2Ru (GGA-PBE, optimized geometry); values from VASP
! Crystal system: tetragonal
! Uncorrected energy in eV per formula unit: -16.126
! Formation energy from the elements in eV/atom: 0.15
! Energy above the lowest structure with this stoichiometry in meV/atom: 0
&SYSTEM
  ibrav = 0, nat = 5, ntyp = 4
/
ATOMIC_SPECIES
Ru 101.07 Ru.upf
Ca 40.08 Ca.upf
Ba 137.33 Ba.upf
Sr 87.62 Sr.upf
CELL_PARAMETERS angstrom
5.714 0.000 0.000
0.000 5.714 0.000
0.000 0.000 5.898
ATOMIC_POSITIONS angstrom
Ru 0.000 0.000 0.000
Ca 0.000 2.857 0.000
Ca 2.857 0.000 0.000
Ba 2.857 2.857 2.949
Sr 0.000 0.000 2.949



No. 14
! BaCaS2 (GGA-PBE, optimized geometry); values from VASP
! Crystal system: trigonal
! Uncorrected energy in eV per formula unit: -20.445
! Energy above the lowest structure with this stoichiometry in meV/atom: 0
! Uncorrected formation energy in eV/atom: -2.066
&SYSTEM
  ibrav = 0, nat = 4, ntyp = 3
/
ATOMIC_SPECIES
Ba 137.33 Ba.upf
Ca 40.08 Ca.upf
S 32.06 S.upf
CELL_PARAMETERS angstrom
4.299 -0.001 -0.004
-2.149 3.723 0.004
-2.144 -1.244 7.061
ATOMIC_POSITIONS angstrom
Ba -2.147 1.240 3.533
Ca 2.155 -1.245 7.057
S 0.004 -0.002 5.491
S 0.002 2.481 1.571